DFT (PBE) results for KRh2Cl after structural relaxation.

The structure in POSCAR format:
```
KRh2Cl
1.0
-0.064 -5.829 -4.754
0.889 -7.357 -1.288
-2.852 -6.624 -2.137
K Rh Cl
1 2 1
Cartesian
-1.528 -14.924 -6.161
-1.964 -19.186 -7.921
-0.530 -5.179 -2.138
-1.048 -10.237 -4.226
```

* formation energy without anion corrections: 26.4 meV per atom
* energy above the most stable polymorph in this dataset: 0.074 eV per atom
* raw total energy: -17.5 eV/f.u.
* DOS(E_F): 1.80 states/eV/cell


DFT (PBE) results for KRh4Cl after structural relaxation.

The structure in POSCAR format:
```
KRh4Cl
1.0
0.510 -5.214 1.315
-3.811 -2.424 2.963
-3.241 -3.684 -2.259
K Rh Cl
1 4 1
Cartesian
0.000 0.000 0.000
-2.200 -6.852 1.414
-4.073 -6.088 -0.371
-4.358 -5.458 2.237
-2.454 -4.248 0.757
-4.907 -8.492 1.514
```

* formation energy without anion corrections: 698.7 meV per atom
* raw total energy: -28.2 eV/f.u.
* DOS(E_F): 10.76 states/eV/cell


DFT (PBE) results for KRh2Cl after structural relaxation.

The structure in POSCAR format:
```
KRh2Cl
1.0
9.510 -0.009 -0.005
9.032 2.978 -0.005
9.032 1.446 2.603
K Rh Cl
1 2 1
Cartesian
20.680 3.311 1.944
27.140 4.345 2.551
14.221 2.277 1.337
6.893 1.104 0.648
```

* formation energy without anion corrections: 676.6 meV per atom
* energy above the most stable polymorph in this dataset: 0.724 eV per atom
* raw total energy: -14.9 eV/f.u.
* DOS(E_F): 5.16 states/eV/cell


DFT (PBE) results for KRh2Cl after structural relaxation.

The structure in POSCAR format:
```
KRh2Cl
1.0
-2.408 -2.655 3.696
2.839 -4.145 -1.128
5.539 -1.140 6.375
K Rh Cl
2 4 2
Cartesian
0.000 0.000 0.000
1.673 -3.598 5.677
0.837 -1.799 2.839
2.256 -3.871 2.274
5.025 -4.441 5.462
3.821 -5.769 7.310
0.215 -3.400 1.284
4.296 -4.342 3.265
```

* formation energy without anion corrections: 214.4 meV per atom
* energy above the most stable polymorph in this dataset: 0.262 eV per atom
* raw total energy: -16.8 eV/f.u.
* DOS(E_F): 7.39 states/eV/cell